[1]
{
  "formula": "Tb2PrDy4",
  "functional": "GGA-PBE",
  "state": "relaxed",
  "lattice": [[-5.610, 1.556, 1.807], [-2.251, -5.903, -1.906], [5.186, -4.965, 9.255]],
  "species": ["Dy", "Dy", "Dy", "Dy", "Dy", "Dy", "Dy", "Dy", "Pr", "Pr", "Tb", "Tb", "Tb", "Tb"],
  "fractional_positions": [[0.018, 0.250, 0.164], [0.363, 0.991, 0.710], [0.141, 0.750, 0.424], [0.637, 0.491, 0.290], [0.982, 0.750, 0.836], [0.363, 0.509, 0.710], [0.637, 0.009, 0.290], [0.859, 0.250, 0.576], [0.823, 0.250, 0.862], [0.177, 0.750, 0.138], [0.293, 0.250, 0.450], [0.707, 0.750, 0.550], [0.390, 0.250, 0.992], [0.610, 0.750, 0.008]],
  "final_energy_ev_per_atom": -4.512,
  "space_group": "P2_1/m (11)",
  "n_ef_per_ev_cell": 23.14,
  "crystal_system": "monoclinic"
}

***

[2]
{
  "formula": "Tb5Pr2Dy3",
  "functional": "GGA-PBE",
  "state": "relaxed",
  "lattice": [[6.833, 0.000, 0.000], [3.417, 11.513, 2.846], [3.417, 5.800, 10.345]],
  "species": ["Pr", "Pr", "Pr", "Pr", "Tb", "Tb", "Tb", "Tb", "Tb", "Tb", "Tb", "Tb", "Tb", "Tb", "Dy", "Dy", "Dy", "Dy", "Dy", "Dy"],
  "fractional_positions": [[0.875, 0.228, 0.021], [0.375, 0.021, 0.228], [0.125, 0.772, 0.979], [0.625, 0.979, 0.772], [0.750, 0.500, 0.500], [0.499, 0.251, 0.251], [0.875, 0.536, 0.714], [0.001, 0.749, 0.749], [0.125, 0.464, 0.286], [0.375, 0.714, 0.536], [0.999, 0.251, 0.251], [0.250, 0.500, 0.500], [0.625, 0.286, 0.464], [0.501, 0.749, 0.749], [0.250, 0.000, 0.000], [0.376, 0.375, 0.874], [0.750, 0.000, 0.000], [0.624, 0.625, 0.126], [0.124, 0.126, 0.625], [0.876, 0.874, 0.375]],
  "final_energy_ev_per_atom": -4.253,
  "space_group": "Ibam (72)",
  "n_ef_per_ev_cell": 30.30,
  "crystal_system": "orthorhombic"
}